Run one
Below is a relaxed structure of SmTcAsO, with properties calculated at the PBE level.

a b c (Å): 4.2176 4.2176 9.4573
angles (deg): 90.00 90.00 90.00
Closest atoms and distances in Å follow each position.
Atoms (fractional coordinates):
As (0.0000, 0.5000, 0.2799)  1 Tc 2.35
As (0.5000, 0.0000, 0.7201)  1 Tc 2.35
O (0.0000, 0.0000, 0.0000)  4 Tc 2.13
O (0.5000, 0.5000, 0.0000)  4 Tc 2.13
Sm (0.0000, 0.0000, 0.5000)  4 As 2.96, 4 Sm 2.98
Sm (0.5000, 0.5000, 0.5000)  4 As 2.96, 4 Sm 2.98
Tc (0.0000, 0.5000, 0.0319)  4 O 2.13, 1 As 2.35
Tc (0.5000, 0.0000, 0.9681)  4 O 2.13, 1 As 2.35

Run two
Below is a relaxed structure of SmTcAsO, with properties calculated at the PBE level.

a b c (Å): 4.2622 4.2558 7.3458
angles (deg): 90.00 90.00 90.00
Closest atoms and distances in Å follow each position.
Atoms (fractional coordinates):
As (0.0000, 0.2601, 0.2720)  3 Tc 2.45-2.46
As (0.0000, 0.7399, 0.7720)  3 Tc 2.45-2.46
O (0.5000, 0.7595, 0.4379)  2 Tc 2.13
O (0.5000, 0.2405, 0.9379)  2 Tc 2.13
Sm (0.5000, 0.7446, 0.1049)  3 O 2.44-2.47
Sm (0.5000, 0.2554, 0.6049)  3 O 2.44-2.47
Tc (0.0000, 0.7611, 0.4392)  2 O 2.13
Tc (0.0000, 0.2389, 0.9392)  2 O 2.13

Going by the energies, run two is most stable and the next is 112.5 kJ/mol of atoms up.

Run one
Below is a relaxed structure of SmTcAsO, with properties calculated at the PBE level.

a b c (Å): 4.1320 6.3401 5.7081
angles (deg): 90.00 90.00 90.00
Closest atoms and distances in Å follow each position.
Atoms (fractional coordinates):
As (0.0000, 0.6775, 0.3653)  4 Tc 2.67-2.85, 1 Sm 2.93
As (0.0000, 0.3225, 0.8653)  4 Tc 2.67-2.85, 1 Sm 2.93
O (0.5000, 0.2655, 0.4188)  2 Tc 2.07-2.12, 2 Sm 2.18
O (0.5000, 0.7345, 0.9188)  2 Tc 2.07-2.12, 2 Sm 2.18
Sm (0.0000, 0.1723, 0.3509)  2 O 2.18
Sm (0.0000, 0.8277, 0.8509)  2 O 2.18
Tc (0.5000, 0.4618, 0.1190)  2 O 2.07-2.12
Tc (0.5000, 0.5382, 0.6190)  2 O 2.07-2.12

Run two
Below is a relaxed structure of SmTcAsO, with properties calculated at the PBE level.

a b c (Å): 3.9974 3.9974 8.7099
angles (deg): 90.00 90.00 90.00
Closest atoms and distances in Å follow each position.
Atoms (fractional coordinates):
As (0.7500, 0.7500, 0.3261)  4 Tc 2.51
As (0.2500, 0.2500, 0.6738)  4 Tc 2.51
O (0.7500, 0.2500, 0.0000)  4 Sm 2.31
O (0.2500, 0.7500, 0.0000)  4 Sm 2.31
Sm (0.2500, 0.2500, 0.1329)  4 O 2.31
Sm (0.7500, 0.7500, 0.8671)  4 O 2.31
Tc (0.7500, 0.2500, 0.5000)  4 As 2.51
Tc (0.2500, 0.7500, 0.5000)  4 As 2.51

Going by the energies, run two is most stable and the next is 56.0 kJ/mol of atoms up.

Run one
Below is a relaxed structure of TmSnAsO, with properties calculated at the PBE level.

a b c (Å): 5.4482 5.4482 5.3759
angles (deg): 90.00 90.00 90.00
Closest atoms and distances in Å follow each position.
Atoms (fractional coordinates):
As (0.7500, 0.7500, 0.4856)  2 Sn 2.67-2.71, 4 Tm 2.73
As (0.2500, 0.2500, 0.5144)  2 Sn 2.67-2.71, 4 Tm 2.73
O (0.7500, 0.2500, 0.0000)  2 Tm 2.69, 4 Sn 2.72
O (0.2500, 0.7500, 0.0000)  2 Tm 2.69, 4 Sn 2.72
Sn (0.2500, 0.2500, 0.0109)  2 As 2.67-2.71, 4 O 2.72
Sn (0.7500, 0.7500, 0.9891)  2 As 2.67-2.71, 4 O 2.72
Tm (0.7500, 0.2500, 0.5000)  2 O 2.69, 4 As 2.73
Tm (0.2500, 0.7500, 0.5000)  2 O 2.69, 4 As 2.73

Run two
Below is a relaxed structure of TmSnAsO, with properties calculated at the PBE level.

a b c (Å): 4.8880 6.2647 6.2545
angles (deg): 90.00 90.00 90.00
Closest atoms and distances in Å follow each position.
Atoms (fractional coordinates):
As (0.0000, 0.2807, 0.3700)  2 Sn 2.75-2.91, 2 Tm 2.83
As (0.0000, 0.7193, 0.8700)  2 Sn 2.75-2.91, 2 Tm 2.83
O (0.5000, 0.8586, 0.3970)  2 Tm 2.09-2.13
O (0.5000, 0.1414, 0.8970)  2 Tm 2.09-2.13
Sn (0.0000, 0.7413, 0.4302)  2 O 2.56, 1 As 2.75
Sn (0.0000, 0.2587, 0.9302)  2 O 2.56, 1 As 2.75
Tm (0.5000, 0.8488, 0.0568)  2 O 2.09-2.13
Tm (0.5000, 0.1512, 0.5568)  2 O 2.09-2.13

Run three
Below is a relaxed structure of TmSnAsO, with properties calculated at the PBE level.

a b c (Å): 4.0639 4.0639 10.0331
angles (deg): 90.00 90.00 90.00
Closest atoms and distances in Å follow each position.
Atoms (fractional coordinates):
As (0.7500, 0.7500, 0.2689)  4 Sn 3.08, 4 Tm 3.35, 4 O 3.38
As (0.2500, 0.2500, 0.7311)  4 Sn 3.08, 4 Tm 3.35, 4 O 3.38
O (0.7500, 0.2500, 0.0000)  4 Tm 2.25
O (0.2500, 0.7500, 0.0000)  4 Tm 2.25
Sn (0.7500, 0.2500, 0.5000)  4 Sn 2.87, 4 As 3.08
Sn (0.2500, 0.7500, 0.5000)  4 Sn 2.87, 4 As 3.08
Tm (0.2500, 0.2500, 0.0969)  4 O 2.25
Tm (0.7500, 0.7500, 0.9031)  4 O 2.25

Going by the energies, run three is most stable and the next is 11.3 kJ/mol of atoms up.

Run one
Below is a relaxed structure of ZrSnAsO, with properties calculated at the PBE level.

a b c (Å): 3.8255 3.8255 10.4145
angles (deg): 90.00 90.00 90.00
Closest atoms and distances in Å follow each position.
Atoms (fractional coordinates):
As (0.0000, 0.5000, 0.2468)  4 Zr 3.05, 4 O 3.20, 4 Sn 3.26
As (0.5000, 0.0000, 0.7532)  4 Zr 3.05, 4 O 3.20, 4 Sn 3.26
O (0.0000, 0.0000, 0.0000)  4 Zr 2.24
O (0.5000, 0.5000, 0.0000)  4 Zr 2.24
Sn (0.0000, 0.0000, 0.5000)  4 Sn 2.71
Sn (0.5000, 0.5000, 0.5000)  4 Sn 2.71
Zr (0.5000, 0.0000, 0.1110)  4 O 2.24
Zr (0.0000, 0.5000, 0.8890)  4 O 2.24

Run two
Below is a relaxed structure of ZrSnAsO, with properties calculated at the PBE level.

a b c (Å): 4.4861 4.4861 7.5435
angles (deg): 90.00 90.00 90.00
Closest atoms and distances in Å follow each position.
Atoms (fractional coordinates):
As (0.0000, 0.5000, 0.3045)  4 Zr 2.68
As (0.5000, 0.0000, 0.6955)  4 Zr 2.68
O (0.0000, 0.0000, 0.0000)  4 Sn 2.38
O (0.5000, 0.5000, 0.0000)  4 Sn 2.38
Sn (0.5000, 0.0000, 0.1042)  4 O 2.38
Sn (0.0000, 0.5000, 0.8958)  4 O 2.38
Zr (0.0000, 0.0000, 0.5000)  4 As 2.68
Zr (0.5000, 0.5000, 0.5000)  4 As 2.68

Run three
Below is a relaxed structure of ZrSnAsO, with properties calculated at the PBE level.

a b c (Å): 3.8658 3.8658 10.0024
angles (deg): 90.00 90.00 90.00
Closest atoms and distances in Å follow each position.
Atoms (fractional coordinates):
As (0.7500, 0.7500, 0.2459)  4 Zr 3.05, 4 O 3.13, 4 Sn 3.19
As (0.2500, 0.2500, 0.7541)  4 Zr 3.05, 4 O 3.13, 4 Sn 3.19
O (0.7500, 0.2500, 0.0000)  4 Zr 2.23
O (0.2500, 0.7500, 0.0000)  4 Zr 2.23
Sn (0.7500, 0.2500, 0.5000)  4 Sn 2.73
Sn (0.2500, 0.7500, 0.5000)  4 Sn 2.73
Zr (0.2500, 0.2500, 0.1106)  4 O 2.23
Zr (0.7500, 0.7500, 0.8894)  4 O 2.23

Going by the energies, run one is most stable and the next is 1.4 kJ/mol of atoms up.